A relaxed structure of Hf2Ti3Ga4. Source: the Alexandria database, functional PBE.

Values from the calculation:
ΔH_f (0 K), eV/atom: -0.4802
Excess energy over the best structure of this formula in the dataset, eV per atom: 0.000

Structure (CIF):
```
data_Hf2Ti3Ga4
_chemical_formula_sum 'Hf4 Ti6 Ga8'
_cell_length_a 7.023
_cell_length_b 7.003
_cell_length_c 6.824
_cell_angle_alpha 90.00
_cell_angle_beta 110.08
_cell_angle_gamma 90.00
_symmetry_space_group_name_H-M 'P 1 21/c 1'
_symmetry_Int_Tables_number 14
_symmetry_space_group_name_Hall '-P 2ybc'
loop_
_atom_site_label
_atom_site_type_symbol
_atom_site_fract_x
_atom_site_fract_y
_atom_site_fract_z
Hf1 Hf 0.189 0.166 0.066
Ti1 Ti 0.251 0.684 0.244
Ti2 Ti 0.500 0.000 0.500
Ga1 Ga 0.077 0.536 0.855
Ga2 Ga 0.484 0.129 0.865
```